[1]
The following is a DFT calculation (PBE) of a relaxed TbNd2Ho5Sc crystal.

abc: 10.3323 10.3323 10.3859
angles: 90.00 90.00 148.82
Last column: nearest neighbours and their distance in Å.
Fractional positions:
Tb 0.0907 0.9093 0.5000  6 Ho 3.02-3.36
Tb 0.9093 0.0907 0.0000  6 Ho 3.02-3.36
Nd 0.3848 0.6152 0.7761  1 Sc 3.32, 7 Ho 3.46-3.66, 2 Tb 3.65
Nd 0.3871 0.6129 0.3559  8 Ho 3.24-3.51, 1 Sc 3.53
Nd 0.6129 0.3871 0.8559  8 Ho 3.24-3.51, 1 Sc 3.53
Nd 0.6152 0.3848 0.2761  1 Sc 3.32, 7 Ho 3.46-3.66, 2 Tb 3.65
Ho 0.0175 0.9825 0.7820  2 Tb 3.13-3.27, 2 Nd 3.45
Ho 0.1247 0.8753 0.0610  4 Nd 3.51-3.57, 1 Sc 3.57, 4 Ho 3.60-3.71
Ho 0.2016 0.7984 0.7444  1 Tb 3.36, 4 Ho 3.37-3.69, 2 Sc 3.40, 3 Nd 3.49-3.66
Ho 0.2244 0.7756 0.3625  1 Tb 3.02, 1 Nd 3.24, 2 Ho 3.37
Ho 0.4836 0.5164 0.0590  2 Tb 3.21, 3 Nd 3.33-3.54, 1 Sc 3.58
Ho 0.5164 0.4836 0.5590  2 Tb 3.21, 3 Nd 3.33-3.54, 1 Sc 3.58
Ho 0.7756 0.2244 0.8625  1 Tb 3.02, 1 Nd 3.24, 2 Ho 3.37
Ho 0.7984 0.2016 0.2444  1 Tb 3.36, 4 Ho 3.37-3.69, 2 Sc 3.40, 3 Nd 3.49-3.66
Ho 0.8753 0.1247 0.5610  4 Nd 3.51-3.57, 1 Sc 3.57, 4 Ho 3.60-3.71
Ho 0.9825 0.0175 0.2820  2 Tb 3.13-3.27, 2 Nd 3.45
Sc 0.3039 0.6961 0.0559  2 Nd 3.32-3.53, 7 Ho 3.40-3.58, 2 Tb 3.53
Sc 0.6961 0.3039 0.5559  2 Nd 3.32-3.53, 7 Ho 3.40-3.58, 2 Tb 3.53

Summary:
The value obtained for the density of states at the Fermi level is 25.1 states/eV/cell. The calculation puts the total magnetic moment at 0.00 μB/cell. The formation energy is 0.16 eV per atom.


[2]
The following is a DFT calculation (PBE) of a relaxed Tb2NdHo4Sc crystal.

abc: 4.9744 4.9744 9.9726
angles: 90.00 90.00 90.00
Last column: nearest neighbours and their distance in Å.
Fractional positions:
Tb 0.0000 0.0000 0.0000  8 Ho 3.47, 4 Sc 3.52
Tb 0.5000 0.5000 0.5000  4 Nd 3.52, 8 Ho 3.57
Nd 0.0000 0.0000 0.5000  4 Tb 3.52, 8 Ho 3.57
Ho 0.0000 0.5000 0.2430  4 Tb 3.47-3.57, 2 Sc 3.47, 4 Ho 3.52, 2 Nd 3.57
Ho 0.0000 0.5000 0.7570  4 Tb 3.47-3.57, 2 Sc 3.47, 4 Ho 3.52, 2 Nd 3.57
Ho 0.5000 0.0000 0.2430  4 Tb 3.47-3.57, 2 Sc 3.47, 4 Ho 3.52, 2 Nd 3.57
Ho 0.5000 0.0000 0.7570  4 Tb 3.47-3.57, 2 Sc 3.47, 4 Ho 3.52, 2 Nd 3.57
Sc 0.5000 0.5000 0.0000  8 Ho 3.47, 4 Tb 3.52

Summary:
The value obtained for the density of states at the Fermi level is 11.7 states/eV/cell. The calculation puts the total magnetic moment at 0.00 μB/cell. The formation energy is 0.03 eV per atom.


[3]
The following is a DFT calculation (PBE) of a relaxed TbNdHo2Sc4 crystal.

abc: 4.9320 4.9320 9.2525
angles: 90.00 90.00 90.00
Last column: nearest neighbours and their distance in Å.
Fractional positions:
Tb 0.0000 0.0000 0.0000  8 Sc 3.37, 4 Ho 3.49
Nd 0.5000 0.5000 0.5000  8 Sc 3.39, 4 Ho 3.49
Ho 0.0000 0.0000 0.5000  8 Sc 3.39, 4 Nd 3.49
Ho 0.5000 0.5000 0.0000  8 Sc 3.37, 4 Tb 3.49
Sc 0.0000 0.5000 0.2484  2 Tb 3.37, 4 Ho 3.37-3.39, 2 Nd 3.39, 4 Sc 3.49
Sc 0.0000 0.5000 0.7516  2 Tb 3.37, 4 Ho 3.37-3.39, 2 Nd 3.39, 4 Sc 3.49
Sc 0.5000 0.0000 0.2484  2 Tb 3.37, 4 Ho 3.37-3.39, 2 Nd 3.39, 4 Sc 3.49
Sc 0.5000 0.0000 0.7516  2 Tb 3.37, 4 Ho 3.37-3.39, 2 Nd 3.39, 4 Sc 3.49

Summary:
The value obtained for the density of states at the Fermi level is 13.2 states/eV/cell. The calculation puts the total magnetic moment at 0.00 μB/cell. The formation energy is 0.05 eV per atom.


[4]
The following is a DFT calculation (PBE) of a relaxed TbNd2Ho4Sc crystal.

abc: 9.4108 9.4108 9.4108
angles: 137.99 103.02 91.82
Last column: nearest neighbours and their distance in Å.
Fractional positions:
Tb 0.0000 0.0000 0.0000  6 Ho 3.27-3.38, 2 Nd 3.37
Tb 0.5000 0.0000 0.5000  6 Ho 3.27-3.38, 2 Nd 3.37
Nd 0.0000 0.5000 0.5000  6 Ho 3.29-3.39, 2 Tb 3.37
Nd 0.5000 0.0000 0.0000  2 Nd 3.37, 6 Ho 3.46-3.54
Nd 0.5000 0.5000 0.0000  6 Ho 3.29-3.39, 2 Tb 3.37
Nd 0.5000 0.5000 0.5000  2 Nd 3.37, 6 Ho 3.46-3.54
Ho 0.2331 0.2492 0.9839  2 Sc 3.22, 1 Tb 3.27, 3 Nd 3.29-3.54, 2 Ho 3.37
Ho 0.2347 0.7508 0.4839  2 Sc 3.22, 1 Tb 3.27, 3 Nd 3.29-3.54, 2 Ho 3.37
Ho 0.2359 0.2354 0.4995  1 Sc 3.09, 2 Ho 3.37-3.38, 2 Tb 3.38, 3 Nd 3.39-3.46
Ho 0.2359 0.7364 0.0005  1 Sc 3.09, 2 Ho 3.37-3.38, 2 Tb 3.38, 3 Nd 3.39-3.46
Ho 0.7641 0.2636 0.9995  1 Sc 3.09, 2 Ho 3.37-3.38, 2 Tb 3.38, 3 Nd 3.39-3.46
Ho 0.7641 0.7646 0.5005  1 Sc 3.09, 2 Ho 3.37-3.38, 2 Tb 3.38, 3 Nd 3.39-3.46
Ho 0.7653 0.2492 0.5161  2 Sc 3.22, 1 Tb 3.27, 3 Nd 3.29-3.54, 2 Ho 3.37
Ho 0.7669 0.7508 0.0161  2 Sc 3.22, 1 Tb 3.27, 3 Nd 3.29-3.54, 2 Ho 3.37
Sc 0.0000 0.0000 0.5000  6 Ho 3.09-3.22, 2 Sc 3.37
Sc 0.0000 0.5000 0.0000  6 Ho 3.09-3.22, 2 Sc 3.37

Summary:
The value obtained for the density of states at the Fermi level is 36.0 states/eV/cell. The calculation puts the total magnetic moment at 3.81 μB/cell. The formation energy is 0.42 eV per atom.


[5]
The following is a DFT calculation (PBE) of a relaxed Tb5Nd2HoSc crystal.

abc: 10.4597 10.4597 10.3871
angles: 90.00 90.00 149.18
Last column: nearest neighbours and their distance in Å.
Fractional positions:
Tb 0.0153 0.9847 0.5000  2 Ho 3.25, 3 Nd 3.34-3.53, 1 Sc 3.63
Tb 0.2745 0.7255 0.8056  1 Ho 3.03, 1 Nd 3.25, 2 Tb 3.37
Tb 0.2977 0.7023 0.1872  1 Ho 3.33, 3 Tb 3.37-3.63, 2 Sc 3.40, 3 Nd 3.50-3.70
Tb 0.3731 0.6269 0.5043  4 Nd 3.52-3.58, 1 Sc 3.59, 4 Tb 3.63-3.71
Tb 0.4838 0.5162 0.2274  2 Ho 3.17-3.32, 2 Nd 3.48
Tb 0.5162 0.4838 0.7274  2 Ho 3.17-3.32, 2 Nd 3.48
Tb 0.6269 0.3731 0.0043  4 Nd 3.52-3.58, 1 Sc 3.59, 4 Tb 3.63-3.71
Tb 0.7023 0.2977 0.6872  1 Ho 3.33, 3 Tb 3.37-3.63, 2 Sc 3.40, 3 Nd 3.50-3.70
Tb 0.7255 0.2745 0.3056  1 Ho 3.03, 1 Nd 3.25, 2 Tb 3.37
Tb 0.9847 0.0153 0.0000  2 Ho 3.25, 3 Nd 3.34-3.53, 1 Sc 3.63
Nd 0.1135 0.8865 0.7978  8 Tb 3.25-3.52, 1 Sc 3.51
Nd 0.1153 0.8847 0.2206  1 Sc 3.31, 7 Tb 3.49-3.70, 2 Ho 3.66
Nd 0.8847 0.1153 0.7206  1 Sc 3.31, 7 Tb 3.49-3.70, 2 Ho 3.66
Nd 0.8865 0.1135 0.2978  8 Tb 3.25-3.52, 1 Sc 3.51
Ho 0.4063 0.5937 0.9455  6 Tb 3.03-3.33
Ho 0.5937 0.4063 0.4455  6 Tb 3.03-3.33
Sc 0.1952 0.8048 0.4993  2 Nd 3.31-3.51, 7 Tb 3.40-3.63, 2 Ho 3.50
Sc 0.8048 0.1952 0.9993  2 Nd 3.31-3.51, 7 Tb 3.40-3.63, 2 Ho 3.50

Summary:
The value obtained for the density of states at the Fermi level is 26.2 states/eV/cell. The calculation puts the total magnetic moment at 0.00 μB/cell. The formation energy is 0.15 eV per atom.


[6]
The following is a DFT calculation (PBE) of a relaxed TbNd2Ho2Sc2 crystal.

abc: 5.9522 5.9522 11.6169
angles: 108.00 108.00 33.59
Last column: nearest neighbours and their distance in Å.
Fractional positions:
Tb 0.0000 0.0000 0.0000  6 Sc 3.41-3.43, 4 Ho 3.43, 2 Tb 3.44
Nd 0.3278 0.3278 0.4102  4 Ho 3.40-3.56, 5 Nd 3.44-3.80, 2 Sc 3.55
Nd 0.6722 0.6722 0.5898  4 Ho 3.40-3.56, 5 Nd 3.44-3.80, 2 Sc 3.55
Ho 0.4551 0.4551 0.7337  4 Nd 3.40-3.56, 2 Tb 3.43, 3 Sc 3.44-3.46, 2 Ho 3.44
Ho 0.5449 0.5449 0.2663  4 Nd 3.40-3.56, 2 Tb 3.43, 3 Sc 3.44-3.46, 2 Ho 3.44
Sc 0.2287 0.2287 0.8702  4 Sc 3.37-3.44, 3 Tb 3.41-3.43, 3 Ho 3.44-3.46, 2 Nd 3.55
Sc 0.7713 0.7713 0.1298  4 Sc 3.37-3.44, 3 Tb 3.41-3.43, 3 Ho 3.44-3.46, 2 Nd 3.55

Summary:
The value obtained for the density of states at the Fermi level is 12.0 states/eV/cell. The calculation puts the total magnetic moment at 0.00 μB/cell. The formation energy is 0.11 eV per atom.


[7]
The following is a DFT calculation (PBE) of a relaxed TbNdHoSc crystal.

abc: 5.5794 5.5794 5.5794
angles: 60.00 60.00 60.00
Last column: nearest neighbours and their distance in Å.
Fractional positions:
Tb 0.0000 0.0000 0.0000  4 Ho 3.42, 4 Sc 3.42
Nd 0.5000 0.5000 0.5000  4 Ho 3.42, 4 Sc 3.42
Ho 0.7500 0.7500 0.7500  4 Tb 3.42, 4 Nd 3.42
Sc 0.2500 0.2500 0.2500  4 Tb 3.42, 4 Nd 3.42

Summary:
The value obtained for the density of states at the Fermi level is 6.3 states/eV/cell. The calculation puts the total magnetic moment at 0.00 μB/cell. The energy above the most stable polymorph in this dataset comes out at 15.6 meV per atom. The formation energy is 0.11 eV per atom.


[8]
The following is a DFT calculation (PBE) of a relaxed TbNd2Ho6Sc3 crystal.

abc: 6.0662 6.0662 11.5027
angles: 95.04 95.04 119.99
Last column: nearest neighbours and their distance in Å.
Fractional positions:
Tb 0.0000 0.0000 0.0000  6 Nd 3.50, 6 Ho 3.58
Nd 0.3333 0.6667 0.0000  3 Tb 3.50, 3 Nd 3.50, 6 Ho 3.59
Nd 0.6667 0.3333 0.0000  3 Tb 3.50, 3 Nd 3.50, 6 Ho 3.59
Ho 0.0873 0.4202 0.2615  3 Sc 3.37-3.38, 6 Ho 3.50-3.51, 1 Tb 3.58, 2 Nd 3.59
Ho 0.2455 0.2455 0.7385  3 Sc 3.37-3.38, 6 Ho 3.50-3.51, 1 Tb 3.58, 2 Nd 3.59
Ho 0.4202 0.0873 0.2615  3 Sc 3.37-3.38, 6 Ho 3.50-3.51, 1 Tb 3.58, 2 Nd 3.59
Ho 0.5798 0.9127 0.7385  3 Sc 3.37-3.38, 6 Ho 3.50-3.51, 1 Tb 3.58, 2 Nd 3.59
Ho 0.7545 0.7545 0.2615  3 Sc 3.37-3.38, 6 Ho 3.50-3.51, 1 Tb 3.58, 2 Nd 3.59
Ho 0.9127 0.5798 0.7385  3 Sc 3.37-3.38, 6 Ho 3.50-3.51, 1 Tb 3.58, 2 Nd 3.59
Sc 0.1665 0.8335 0.5000  6 Ho 3.37-3.38, 6 Sc 3.50
Sc 0.5000 0.5000 0.5000  6 Ho 3.37-3.38, 6 Sc 3.50
Sc 0.8335 0.1665 0.5000  6 Ho 3.37-3.38, 6 Sc 3.50

Summary:
The value obtained for the density of states at the Fermi level is 17.6 states/eV/cell. The calculation puts the total magnetic moment at 0.00 μB/cell. The formation energy is 0.05 eV per atom.